A plane-wave DFT calculation with GGA-PBE was carried out for a geometry-optimized CsLa2InRu structure.

```
data_CsLa2InRu
_chemical_formula_sum 'Cs1 La2 In1 Ru1'
_space_group_name_H-M_alt 'P 1'
_space_group_IT_number 1
_cell_length_a 5.569
_cell_length_b 5.569
_cell_length_c 5.517
_cell_angle_alpha 90.00
_cell_angle_beta 90.00
_cell_angle_gamma 90.00
loop_
_space_group_symop_operation_xyz
'x,y,z'
loop_
_atom_site_label
_atom_site_type_symbol
_atom_site_fract_x
_atom_site_fract_y
_atom_site_fract_z
Cs1 Cs 0.500 0.500 0.500
La1 La 0.000 0.500 0.000
La2 La 0.500 0.000 0.000
Ru1 Ru 0.000 0.000 0.000
In1 In 0.000 0.000 0.500
```

Values from the calculation:
Formation energy from the elements = -0.081 eV/atom
V = 34.2 A^3/atom

A plane-wave DFT calculation with GGA-PBE was carried out for a geometry-optimized ZnCu2Rh structure.

```
data_ZnCu2Rh
_chemical_formula_sum 'Zn1 Cu2 Rh1'
_space_group_name_H-M_alt 'P 1'
_space_group_IT_number 1
_cell_length_a 4.726
_cell_length_b 4.726
_cell_length_c 4.249
_cell_angle_alpha 68.79
_cell_angle_beta 68.79
_cell_angle_gamma 36.61
loop_
_space_group_symop_operation_xyz
'x,y,z'
loop_
_atom_site_label
_atom_site_type_symbol
_atom_site_fract_x
_atom_site_fract_y
_atom_site_fract_z
Rh1 Rh 0.502 0.502 0.475
Cu1 Cu 0.742 0.742 0.783
Cu2 Cu 0.999 0.999 0.974
Zn1 Zn 0.256 0.256 0.268
```

Values from the calculation:
Formation energy from the elements = -0.102 eV/atom
V = 13.1 A^3/atom

A plane-wave DFT calculation with GGA-PBE was carried out for a geometry-optimized Al2TcMo structure.

```
data_Al2TcMo
_chemical_formula_sum 'Al2 Tc1 Mo1'
_space_group_name_H-M_alt 'P 1'
_space_group_IT_number 1
_cell_length_a 2.749
_cell_length_b 2.749
_cell_length_c 8.788
_cell_angle_alpha 90.00
_cell_angle_beta 90.00
_cell_angle_gamma 111.82
loop_
_space_group_symop_operation_xyz
'x,y,z'
loop_
_atom_site_label
_atom_site_type_symbol
_atom_site_fract_x
_atom_site_fract_y
_atom_site_fract_z
Mo1 Mo 0.000 0.000 0.505
Al1 Al 0.500 0.500 0.256
Al2 Al 0.000 0.000 0.989
Tc1 Tc 0.500 0.500 0.750
```

Values from the calculation:
Formation energy from the elements = -0.001 eV/atom
V = 15.4 A^3/atom
Excess energy over the best structure of this formula in the dataset = 34.73 kJ per mole of atoms

Calculated values (eV/cell) of final energy for the records, taken in order: -23.1 -17.2 -28.7.